Compound: HPd2PtAu
Source: Alexandria via LeMat-Bulk
Functional: PBE
Structure: optimized geometry

Cell: 4.002 4.002 4.186 Å, 90.00 90.00 90.00°
Positions (direct):
H 0.000 0.000 0.000
Au 0.000 0.000 0.500
Pd 0.000 0.500 0.000
Pd 0.500 0.000 0.000
Pt 0.500 0.500 0.500

Results
N(E_F), states/eV per atom: 1.11
E_tot, eV per formula unit: -22.8

---

Compound: Ce2Tm8In
Source: Alexandria via LeMat-Bulk
Functional: PBE
Structure: optimized geometry

Cell: 4.859 7.701 9.174 Å, 104.33 105.35 90.00°
Each line ends with the local moment (μB).
Positions (direct):
Ce 0.777 0.377 0.554  0.52
Ce 0.223 0.623 0.446  0.52
Tm 0.408 0.553 0.817  0.02
Tm 0.681 0.906 0.363  0.06
Tm 0.864 0.822 0.728  0.03
Tm 0.956 0.272 0.911  0.00
Tm 0.136 0.178 0.272  0.03
Tm 0.319 0.094 0.637  0.06
Tm 0.592 0.447 0.183  0.02
Tm 0.044 0.728 0.089  0.00
In 0.500 0.000 0.000  0.00

Results
N(E_F), states/eV per atom: 1.83
Energy of formation, eV/atom: -0.04

---

Compound: CrAgCl2
Source: Alexandria via LeMat-Bulk
Functional: PBE
Structure: optimized geometry

Cell: 3.456 3.456 10.376 Å, 90.00 90.00 122.53°
Each line ends with the local moment (μB).
Positions (direct):
Cr 0.500 0.500 0.250  3.59
Ag 0.500 0.500 0.750  0.00
Cl 0.000 0.000 0.091  0.00
Cl 0.000 0.000 0.409  0.00

Results
N(E_F), states/eV per atom: 0.24
E_tot, eV per formula unit: -17.5

---

Compound: PmSm4Tm6
Source: Alexandria via LeMat-Bulk
Functional: PBE
Structure: optimized geometry

Cell: 9.654 9.654 9.654 Å, 57.88 139.99 139.99°
Positions (direct):
Pm 0.000 0.000 0.000
Sm 0.000 0.636 0.014
Sm 0.378 0.364 0.364
Sm 0.000 0.014 0.636
Sm 0.622 0.986 0.986
Tm 0.000 0.805 0.448
Tm 0.000 0.448 0.805
Tm 0.357 0.552 0.552
Tm 0.500 0.500 0.000
Tm 0.643 0.195 0.195
Tm 0.500 0.000 0.500

Results
N(E_F), states/eV per atom: 1.26
Energy of formation, eV/atom: 0.31

---

Compound: LiTaZn2
Source: Alexandria via LeMat-Bulk
Functional: PBE
Structure: optimized geometry

Cell: 6.775 6.775 5.546 Å, 52.35 52.35 90.00°
Positions (direct):
Zn 0.596 0.125 0.250
Zn 0.154 0.625 0.250
Zn 0.375 0.404 0.750
Zn 0.875 0.846 0.750
Li 0.500 0.500 0.000
Li 0.250 0.750 0.500
Ta 0.000 0.000 0.000
Ta 0.750 0.250 0.500

Results
N(E_F), states/eV per atom: 0.49
Energy of formation, eV/atom: 0.46

---

Compound: HfPaBi4
Source: Alexandria via LeMat-Bulk
Functional: PBE
Structure: optimized geometry

Cell: 7.486 7.486 8.245 Å, 117.00 117.00 90.00°
Each line ends with the local moment (μB).
Positions (direct):
Hf 0.500 0.500 0.000  0.06
Hf 0.000 0.000 0.000  0.06
Pa 0.250 0.250 0.500  0.33
Pa 0.750 0.750 0.500  0.33
Bi 0.468 0.968 0.247  0.00
Bi 0.968 0.779 0.247  0.00
Bi 0.279 0.468 0.247  0.00
Bi 0.721 0.532 0.753  0.00
Bi 0.032 0.221 0.753  0.00
Bi 0.532 0.032 0.753  0.00
Bi 0.221 0.721 0.753  0.00
Bi 0.779 0.279 0.247  0.00

Results
N(E_F), states/eV per atom: 1.01
Energy of formation, eV/atom: -0.06

---

Compound: Sm4AsPtSe2
Source: Alexandria via LeMat-Bulk
Functional: PBE
Structure: optimized geometry

Cell: 4.148 7.342 7.295 Å, 70.92 90.00 90.00°
Positions (direct):
Sm 0.000 0.736 0.759
Sm 0.000 0.264 0.241
Sm 0.500 0.742 0.253
Sm 0.500 0.258 0.747
As 0.000 0.500 0.500
Pt 0.500 0.500 0.000
Se 0.000 0.000 0.000
Se 0.500 0.000 0.500

Results
N(E_F), states/eV per atom: 0.75
E_tot, eV per formula unit: -49.1

---

Compound: TbYCdAg
Source: Alexandria via LeMat-Bulk
Functional: PBE
Structure: optimized geometry

Cell: 3.696 3.696 7.418 Å, 90.00 90.00 90.00°
Positions (direct):
Tb 0.500 0.500 0.115
Y 0.500 0.500 0.599
Cd 0.000 0.000 0.857
Ag 0.000 0.000 0.357

Results
N(E_F), states/eV per atom: 0.83
Energy of formation, eV/atom: -0.32

---

> Number 6 is which compound?

HfPaBi4